Entry 1:
! Ir2PdI GGA-PBE relaxed; values from VASP
&SYSTEM
  ibrav = 0, nat = 4, ntyp = 3
/
ATOMIC_SPECIES
Ir 192.22 Ir.upf
I 126.90 I.upf
Pd 106.42 Pd.upf
CELL_PARAMETERS angstrom
0.0000 3.2372 3.2372
3.2372 0.0000 3.2372
3.2372 3.2372 0.0000
ATOMIC_POSITIONS angstrom
Ir 4.8558 4.8558 4.8558
Ir 1.6186 1.6186 1.6186
I 3.2372 3.2372 3.2372
Pd 0.0000 0.0000 0.0000
! - Formation energy from raw total energies: 0.91 eV/atom

=====

Entry 2:
! Tb5Dy7Er GGA-PBE relaxed; values from VASP
&SYSTEM
  ibrav = 0, nat = 13, ntyp = 3
/
ATOMIC_SPECIES
Dy 162.50 Dy.upf
Tb 158.93 Tb.upf
Er 167.26 Er.upf
CELL_PARAMETERS angstrom
-3.2361 -5.1027 2.7752
-2.2611 -6.0344 -5.7666
5.2962 -6.4323 2.3143
ATOMIC_POSITIONS angstrom
Dy -2.7113 -8.5148 -2.8868
Dy -0.5723 -8.2307 0.1300
Dy -0.1646 -4.2580 -0.0557
Dy 2.2742 -8.7773 2.4442
Dy 2.6835 -6.1571 -0.2263
Dy 1.3491 -10.4870 -1.7781
Dy 0.1062 -6.0214 -2.9822
Tb 2.4094 -2.9604 1.0439
Tb -1.0214 -2.7798 -2.6246
Tb 0.6674 -5.7073 2.5378
Tb -0.2636 -13.0445 -0.3957
Tb -2.7634 -5.5267 -1.1307
Er -2.9982 -5.3821 2.5389
! - Formation energy from the elements: 257.7 meV per atom

=====

Entry 3:
! MnBiW3 GGA-PBE relaxed; values from VASP
&SYSTEM
  ibrav = 0, nat = 5, ntyp = 3
/
ATOMIC_SPECIES
Mn 54.94 Mn.upf
Bi 208.98 Bi.upf
W 183.84 W.upf
CELL_PARAMETERS angstrom
4.5889 0.0000 0.0000
0.0000 4.5889 0.0000
0.0000 0.0000 4.5889
ATOMIC_POSITIONS angstrom
Mn 0.0000 0.0000 0.0000
Bi 2.2945 2.2945 2.2945
W 0.0000 2.2945 0.0000
W 2.2945 0.0000 0.0000
W 0.0000 0.0000 2.2945
! - Formation energy from the elements: 1396.4 meV per atom

=====

Entry 4:
! Te2IO GGA-PBE relaxed; values from VASP
&SYSTEM
  ibrav = 0, nat = 8, ntyp = 3
/
ATOMIC_SPECIES
I 126.90 I.upf
Te 127.60 Te.upf
O 16.00 O.upf
CELL_PARAMETERS angstrom
-0.8189 -5.7334 0.3713
1.5465 -0.5811 -5.5633
7.2079 -4.0059 -0.6049
ATOMIC_POSITIONS angstrom
I 3.3764 -6.4483 -1.4148
I 0.0000 0.0000 0.0000
Te 1.6360 -3.5897 -0.6837
Te 2.5136 -3.1492 -3.5127
Te 5.9668 -5.4806 -3.4368
Te 5.7545 -8.4214 -3.9606
O 0.3638 -3.1573 -2.5960
O 4.5591 -3.8722 -4.3821
! - Formation energy from raw total energies: 0.04 eV/atom

=====

Entry 5:
! Na2SiN GGA-PBE relaxed; values from VASP
&SYSTEM
  ibrav = 0, nat = 8, ntyp = 3
/
ATOMIC_SPECIES
Na 22.99 Na.upf
N 14.01 N.upf
Si 28.09 Si.upf
CELL_PARAMETERS angstrom
-0.1316 9.0873 -3.9761
-7.4209 -2.7287 -5.9908
-4.9530 3.6969 -3.7615
ATOMIC_POSITIONS angstrom
Na -5.9163 1.9779 -5.8919
Na -2.2246 4.6395 -3.4640
Na -8.9976 8.8239 -10.4720
Na -7.8725 4.6698 -7.6288
N -3.7762 3.1793 -4.9834
N -8.0751 2.0738 -7.3678
Si -4.4304 7.9817 -6.3605
Si 0.0000 0.0000 0.0000
! - Formation energy from raw total energies: 0.17 eV/atom

=====

Entry 6:
! Sc2MnP2 GGA-PBE relaxed; values from VASP
&SYSTEM
  ibrav = 0, nat = 10, ntyp = 3
/
ATOMIC_SPECIES
Mn 54.94 Mn.upf
P 30.97 P.upf
Sc 44.96 Sc.upf
CELL_PARAMETERS angstrom
-1.3229 -6.1468 0.4678
2.9626 -1.0535 -5.4649
3.3197 -0.5692 1.9094
ATOMIC_POSITIONS angstrom
Mn 0.8199 -3.6002 -2.4985
Mn 0.0000 0.0000 0.0000
P -0.4396 -4.0477 -0.4423
P 2.0793 -3.1526 -4.5548
P 0.7383 -5.9844 -3.0674
P 0.9014 -1.2160 -1.9297
Sc 1.5343 -5.7113 -0.4446
Sc 1.7405 -2.4760 0.1613
Sc 3.4251 -2.0582 -2.6430
Sc 3.2190 -5.2935 -3.2490
! - Formation energy from the elements: -998.3 meV per atom

=====

| no. | total magnetic moment (μB per formula unit) |
| --- | --- |
| 1 | 0.85 |
| 2 | 0.00 |
| 3 | 0.00 |
| 4 | 0.00 |
| 5 | 0.40 |
| 6 | 2.19 |